Entry from Alexandria: a geometry-optimized Sr2Ta structure (GGA-PBE).

a = 12.8363 Å, b = 3.6190 Å, c = 9.8308 Å
α = 90.00°, β = 102.11°, γ = 90.00°
With the nearest neighbours (Å) after each atom.
Atoms (fractional coordinates):
Sr 0.0000 0.0000 0.0000  2 Ta 3.50, 3 Sr 3.62-3.71
Sr 0.0696 0.0000 0.4603  5 Ta 3.46-3.68, 2 Sr 3.62
Sr 0.2169 0.5000 0.8124  4 Ta 3.29-3.68, 2 Sr 3.62
Sr 0.2964 0.0000 0.2324  2 Ta 3.40, 2 Sr 3.62
Sr 0.5000 0.5000 0.0000  2 Ta 3.50, 3 Sr 3.62-3.71
Sr 0.5696 0.5000 0.4603  5 Ta 3.46-3.68, 2 Sr 3.62
Sr 0.7169 0.0000 0.8124  4 Ta 3.29-3.68, 2 Sr 3.62
Sr 0.7964 0.5000 0.2324  2 Ta 3.40, 2 Sr 3.62
Ta 0.3162 0.5000 0.5295  2 Ta 2.61
Ta 0.4260 0.0000 0.6904  2 Ta 2.61
Ta 0.8162 0.0000 0.5295  2 Ta 2.61
Ta 0.9260 0.5000 0.6904  2 Ta 2.61

Computed properties:
- Space group: Cm, No. 8
- ΔH_f (0 K): 0.644 eV/atom
- Volume: 37.21 Å³ per atom
- Excess energy over the best structure of this formula in the dataset: 30 meV per atom
- Electronic total energy: -0.3255 Ry per atom